Entry 1:
DFT (PBE) results for a relaxed structure of AlTlPbF6.

a b c (Å): 7.4877 7.4877 7.4877
angles (deg): 120.93 113.52 94.99
Atoms (fractional coordinates):
Al 0.5000 0.0000 0.0000
Al 0.5000 0.5000 0.5000
Tl 0.1558 0.4058 0.7500
Tl 0.8442 0.5942 0.2500
Pb 0.0000 0.0000 0.0000
Pb 0.5000 0.0000 0.5000
F 0.1202 0.8702 0.2500
F 0.2194 0.4053 0.3748
F 0.2194 0.8446 0.8142
F 0.4602 0.2102 0.2500
F 0.4695 0.1554 0.8748
F 0.4695 0.5947 0.3142
F 0.5305 0.4053 0.6858
F 0.5305 0.8446 0.1252
F 0.5398 0.7898 0.7500
F 0.7806 0.1554 0.1858
F 0.7806 0.5947 0.6252
F 0.8798 0.1298 0.7500

Summary:
The density of states at the Fermi level is 0.00 states/eV/cell. For the formation energy (no corrections), the calculation gives -2.7946 eV per atom. The value obtained for the total energy is -46.196 eV per formula unit. The calculated volume is 307 Å³ per cell. The total magnetic moment is 0.0 μB/f.u.

---

Entry 2:
DFT (PBE) results for a relaxed structure of PrDy3Tm2Te6.

a b c (Å): 9.7197 9.7197 8.8210
angles (deg): 101.37 101.37 25.67
Atoms (fractional coordinates):
Pr 0.0000 0.0000 0.0000
Dy 0.0000 0.0000 0.5000
Dy 0.3427 0.3427 0.1627
Dy 0.6573 0.6573 0.8373
Tm 0.3364 0.3364 0.6666
Tm 0.6636 0.6636 0.3334
Te 0.1693 0.1693 0.5856
Te 0.1744 0.1744 0.0945
Te 0.4958 0.4958 0.7381
Te 0.5042 0.5042 0.2619
Te 0.8256 0.8256 0.9055
Te 0.8307 0.8307 0.4144

Summary:
The density of states at the Fermi level is 6.60 states/eV/cell. For the formation energy (no corrections), the calculation gives -1.2697 eV per atom. The value obtained for the total energy is -61.616 eV per formula unit. The calculated volume is 354 Å³ per cell. The total magnetic moment is 0.0 μB/f.u.

---

Entry 3:
DFT (PBE) results for a relaxed structure of PaNbP.

a b c (Å): 7.9331 7.9331 4.8240
angles (deg): 93.01 93.01 24.44
Atoms (fractional coordinates):
Pa 0.0881 0.0881 0.3531
Pa 0.9119 0.9119 0.6469
Nb 0.4123 0.4123 0.1318
Nb 0.5877 0.5877 0.8682
P 0.2661 0.2661 0.3444
P 0.7339 0.7339 0.6556

Summary:
The density of states at the Fermi level is 7.99 states/eV/cell. The value obtained for the total energy is -24.965 eV per formula unit. The calculated volume is 125 Å³ per cell. The calculated formation energy comes out at 0.0034 eV per atom. The total magnetic moment is 0.0 μB/f.u.

---

Entry 4:
DFT (PBE) results for a relaxed structure of PaCoNi2.

a b c (Å): 3.4410 3.4410 4.9869
angles (deg): 90.00 90.00 90.00
Atoms (fractional coordinates):
Pa 0.0000 0.0000 0.0000
Co 0.0000 0.0000 0.5000
Ni 0.5000 0.5000 0.2611
Ni 0.5000 0.5000 0.7389

Summary:
The density of states at the Fermi level is 3.10 states/eV/cell. The value obtained for the total energy is -28.815 eV per formula unit. The calculated volume is 59 Å³ per cell. The calculated formation energy comes out at -0.1625 eV per atom. The total magnetic moment is 0.4 μB/f.u.

---

Entry 5:
DFT (PBE) results for a relaxed structure of Sm2PaGe.

a b c (Å): 11.6015 11.6015 11.6015
angles (deg): 16.26 16.26 16.26
Atoms (fractional coordinates):
Sm 0.0950 0.0950 0.0950
Sm 0.9050 0.9050 0.9050
Pa 0.0000 0.0000 0.0000
Ge 0.5000 0.5000 0.5000

Summary:
The density of states at the Fermi level is 6.50 states/eV/cell. The value obtained for the total energy is -23.083 eV per formula unit. The calculated volume is 107 Å³ per cell. The calculated formation energy comes out at 0.1172 eV per atom. The total magnetic moment is 0.0 μB/f.u.

---

Entry 6:
DFT (PBE) results for a relaxed structure of AsSeI2O.

a b c (Å): 5.8415 5.8415 3.7786
angles (deg): 90.00 90.00 90.00
Atoms (fractional coordinates):
As 0.0000 0.0000 0.0000
Se 0.5000 0.5000 0.5000
I 0.0000 0.5000 0.0000
I 0.5000 0.0000 0.0000
O 0.0000 0.0000 0.5000

Summary:
The density of states at the Fermi level is 4.17 states/eV/cell. For the formation energy (no corrections), the calculation gives 0.1699 eV per atom. The value obtained for the total energy is -15.343 eV per formula unit. The calculated volume is 129 Å³ per cell. As for the excess energy over the best structure of this formula in the dataset: 0 meV per atom. The total magnetic moment is 0.7 μB/f.u.

---

Entry 7:
DFT (PBE) results for a relaxed structure of NbCo3Au.

a b c (Å): 4.4320 4.4320 4.4320
angles (deg): 90.00 90.00 90.00
Atoms (fractional coordinates):
Nb 0.0000 0.0000 0.0000
Co 0.0000 0.0000 0.5000
Co 0.0000 0.5000 0.0000
Co 0.5000 0.0000 0.0000
Au 0.5000 0.5000 0.5000

Summary:
The density of states at the Fermi level is 6.74 states/eV/cell. The value obtained for the total energy is -27.834 eV per formula unit. The calculated volume is 87 Å³ per cell. The calculated formation energy comes out at 1.3662 eV per atom. As for the excess energy over the best structure of this formula in the dataset: 0 meV per atom. The total magnetic moment is 0.9 μB/f.u.

---

Entry 8:
DFT (PBE) results for a relaxed structure of CsRbAlAs2.

a b c (Å): 5.6918 7.3810 8.7727
angles (deg): 90.00 90.00 90.00
Atoms (fractional coordinates):
Cs 0.2500 0.0000 0.1709
Cs 0.7500 0.0000 0.8291
Rb 0.2500 0.5000 0.3819
Rb 0.7500 0.5000 0.6181
Al 0.0000 0.5000 0.0000
Al 0.5000 0.5000 0.0000
As 0.2500 0.3220 0.8007
As 0.2500 0.6780 0.8007
As 0.7500 0.3220 0.1993
As 0.7500 0.6780 0.1993

Summary:
The density of states at the Fermi level is 3.91 states/eV/cell. The value obtained for the total energy is -16.194 eV per formula unit. The calculated volume is 369 Å³ per cell. The calculated formation energy comes out at -0.2662 eV per atom. The total magnetic moment is 0.0 μB/f.u.